Here is a geometry-optimized HfN2OF structure from Alexandria via LeMat-Bulk. Energies are from PBE. Values from VASP.

Computed properties:
Calculated total energy in eV/atom: -6.232
Space group: No. 123
Formation energy without anion corrections in eV per atom: 0.455
M_tot in μB per formula unit: 0.27

Geometry as Quantum ESPRESSO input:
```
&SYSTEM
  ibrav = 0, nat = 5, ntyp = 4
/
ATOMIC_SPECIES
N 14.01 N.upf
Hf 178.49 Hf.upf
O 16.00 O.upf
F 19.00 F.upf
CELL_PARAMETERS angstrom
-1.912 -2.230 -2.127
2.885 -0.415 -2.158
1.067 -2.786 1.962
ATOMIC_POSITIONS crystal
N 0.000 0.500 0.000
N 0.500 0.000 0.000
Hf 0.500 0.500 0.500
O 0.000 0.000 0.000
F 0.000 0.000 0.500
```

---

Here is a geometry-optimized HfOsNF2 structure from Alexandria via LeMat-Bulk. Energies are from PBE. Values from VASP.

Computed properties:
Calculated total energy in eV/atom: -7.188
Space group: No. 123
Energy above the lowest structure with this stoichiometry in eV per atom: 0.000
Formation energy without anion corrections in eV per atom: -0.538
M_tot in μB per formula unit: 3.10

Geometry as Quantum ESPRESSO input:
```
&SYSTEM
  ibrav = 0, nat = 5, ntyp = 4
/
ATOMIC_SPECIES
Hf 178.49 Hf.upf
N 14.01 N.upf
Os 190.23 Os.upf
F 19.00 F.upf
CELL_PARAMETERS angstrom
4.065 0.000 0.000
0.000 4.065 0.000
0.000 0.000 4.346
ATOMIC_POSITIONS crystal
Hf 0.000 0.000 0.000
N 0.000 0.000 0.500
Os 0.500 0.500 0.500
F 0.000 0.500 0.000
F 0.500 0.000 0.000
```

---

Here is a geometry-optimized HfOsNF2 structure from Alexandria via LeMat-Bulk. Energies are from PBE. Values from VASP.

Computed properties:
Calculated total energy in eV/atom: -6.680
Space group: No. 123
Energy above the lowest structure with this stoichiometry in eV per atom: 0.508
Formation energy without anion corrections in eV per atom: -0.030
M_tot in μB per formula unit: 0.00

Geometry as Quantum ESPRESSO input:
```
&SYSTEM
  ibrav = 0, nat = 5, ntyp = 4
/
ATOMIC_SPECIES
Hf 178.49 Hf.upf
N 14.01 N.upf
Os 190.23 Os.upf
F 19.00 F.upf
CELL_PARAMETERS angstrom
4.398 0.000 0.000
0.000 4.398 0.000
0.000 0.000 3.715
ATOMIC_POSITIONS crystal
Hf 0.500 0.500 0.500
N 0.000 0.000 0.500
Os 0.000 0.000 0.000
F 0.000 0.500 0.000
F 0.500 0.000 0.000
```

---

Here is a geometry-optimized HfPN2F structure from Alexandria via LeMat-Bulk. Energies are from PBE. Values from VASP.

Computed properties:
Calculated total energy in eV/atom: -6.864
Space group: No. 123
Energy above the lowest structure with this stoichiometry in eV per atom: 0.107
Formation energy without anion corrections in eV per atom: -0.087
M_tot in μB per formula unit: 0.00

Geometry as Quantum ESPRESSO input:
```
&SYSTEM
  ibrav = 0, nat = 5, ntyp = 4
/
ATOMIC_SPECIES
P 30.97 P.upf
N 14.01 N.upf
Hf 178.49 Hf.upf
F 19.00 F.upf
CELL_PARAMETERS angstrom
-2.450 -2.529 1.350
2.723 -2.608 0.056
0.876 0.989 3.444
ATOMIC_POSITIONS crystal
P 0.000 0.000 0.000
N 0.000 0.500 0.000
N 0.500 0.000 0.000
Hf 0.500 0.500 0.500
F 0.000 0.000 0.500
```

---

Here is a geometry-optimized HfPN2F structure from Alexandria via LeMat-Bulk. Energies are from PBE. Values from VASP.

Computed properties:
Calculated total energy in eV/atom: -6.971
Space group: No. 123
Energy above the lowest structure with this stoichiometry in eV per atom: 0.000
Formation energy without anion corrections in eV per atom: -0.194
M_tot in μB per formula unit: 0.00

Geometry as Quantum ESPRESSO input:
```
&SYSTEM
  ibrav = 0, nat = 5, ntyp = 4
/
ATOMIC_SPECIES
P 30.97 P.upf
N 14.01 N.upf
Hf 178.49 Hf.upf
F 19.00 F.upf
CELL_PARAMETERS angstrom
4.255 0.000 0.000
0.000 4.255 0.000
0.000 0.000 3.960
ATOMIC_POSITIONS crystal
P 0.500 0.500 0.500
N 0.000 0.500 0.000
N 0.500 0.000 0.000
Hf 0.000 0.000 0.000
F 0.000 0.000 0.500
```

---

Here is a geometry-optimized HfPbN2F structure from Alexandria via LeMat-Bulk. Energies are from PBE. Values from VASP.

Computed properties:
Calculated total energy in eV/atom: -5.767
Space group: No. 123
Energy above the lowest structure with this stoichiometry in eV per atom: 1.628
Formation energy without anion corrections in eV per atom: 0.669
M_tot in μB per formula unit: 0.57

Geometry as Quantum ESPRESSO input:
```
&SYSTEM
  ibrav = 0, nat = 5, ntyp = 4
/
ATOMIC_SPECIES
Pb 207.20 Pb.upf
N 14.01 N.upf
Hf 178.49 Hf.upf
F 19.00 F.upf
CELL_PARAMETERS angstrom
4.333 0.000 0.000
0.000 4.333 0.000
0.000 0.000 4.163
ATOMIC_POSITIONS crystal
Pb 0.000 0.000 0.000
N 0.000 0.500 0.000
N 0.500 0.000 0.000
Hf 0.500 0.500 0.500
F 0.000 0.000 0.500
```

---

Here is a geometry-optimized HfPbN2F structure from Alexandria via LeMat-Bulk. Energies are from PBE. Values from VASP.

Computed properties:
Calculated total energy in eV/atom: -7.395
Space group: No. 123
Energy above the lowest structure with this stoichiometry in eV per atom: 0.000
Formation energy without anion corrections in eV per atom: -0.959
M_tot in μB per formula unit: 0.00

Geometry as Quantum ESPRESSO input:
```
&SYSTEM
  ibrav = 0, nat = 5, ntyp = 4
/
ATOMIC_SPECIES
Pb 207.20 Pb.upf
N 14.01 N.upf
Hf 178.49 Hf.upf
F 19.00 F.upf
CELL_PARAMETERS angstrom
4.266 0.000 0.000
0.000 4.266 0.000
0.000 0.000 4.169
ATOMIC_POSITIONS crystal
Pb 0.500 0.500 0.500
N 0.000 0.500 0.000
N 0.500 0.000 0.000
Hf 0.000 0.000 0.000
F 0.000 0.000 0.500
```

---

Here is a geometry-optimized Hf2PbNF structure from Alexandria via LeMat-Bulk. Energies are from PBE. Values from VASP.

Computed properties:
Calculated total energy in eV/atom: -6.612
Space group: No. 123
Formation energy without anion corrections in eV per atom: 0.150
M_tot in μB per formula unit: 0.00

Geometry as Quantum ESPRESSO input:
```
&SYSTEM
  ibrav = 0, nat = 5, ntyp = 4
/
ATOMIC_SPECIES
Pb 207.20 Pb.upf
N 14.01 N.upf
Hf 178.49 Hf.upf
F 19.00 F.upf
CELL_PARAMETERS angstrom
4.296 0.000 0.000
0.000 4.705 0.000
0.000 0.000 4.296
ATOMIC_POSITIONS crystal
Pb 0.500 0.500 0.500
N 0.000 0.500 0.000
Hf 0.000 0.000 0.500
Hf 0.500 0.000 0.000
F 0.000 0.000 0.000
```